The following is a DFT calculation (PBE-GGA) of crystalline KLaAg2Pd at its relaxed geometry.

Lattice parameters (Å, degrees): 5.9933 5.9933 5.3223 90.00 90.00 90.00
Space group P4/mmm (No. 123)
Inequivalent atoms, fractional coordinates:
K  0.0000  0.0000  0.0000
La  0.5000  0.5000  0.5000
Ag  0.0000  0.5000  0.5000
Pd  0.5000  0.5000  0.0000

Summary:
* magnetization: 0.00 Bohr magnetons per cell
* total energy: -3.062 eV/atom
* V: 191.2 Å³ per cell